No. 1
Compound: AlIn2Mo
Source: the Alexandria database
Functional: meta-GGA SCAN
Structure: single point on PBEsol structure

Lattice parameters (Å, degrees): 5.2717 5.2717 5.2717 135.13 135.13 65.33
Last column: nearest neighbours and their distance in Å.
Fractional positions:
Al 0.0000 0.0000 0.0000  4 Mo 2.85, 8 In 3.00
In 0.2500 0.7500 0.5000  4 In 2.85, 4 Mo 3.00, 4 Al 3.00
In 0.7500 0.2500 0.5000  4 In 2.85, 4 Mo 3.00, 4 Al 3.00
Mo 0.5000 0.5000 0.0000  4 Al 2.85, 8 In 3.00

**Total magnetic moment**: 0.92 μB/f.u.
**SG**: I4/mmm (139)
**Formation energy**: 0.14 eV per atom

=====

No. 2
Compound: Fe2HgMo
Source: the Alexandria database
Functional: meta-GGA SCAN
Structure: single point on PBEsol structure

Lattice parameters (Å, degrees): 5.1604 5.1604 5.1604 147.42 129.78 61.15
Last column: nearest neighbours and their distance in Å.
Fractional positions:
Fe 0.0000 0.0000 0.0000  2 Fe 2.36, 2 Mo 2.63, 4 Hg 2.64
Fe 0.7899 0.2899 0.5000  2 Fe 2.36
Hg 0.5302 0.5302 0.0000  6 Fe 2.64-2.72, 2 Hg 2.89, 4 Mo 2.90-2.92
Mo 0.2477 0.7477 0.5000  6 Fe 2.63-2.65, 2 Mo 2.89, 4 Hg 2.90-2.92

**Total magnetic moment**: 4.43 μB/f.u.
**SG**: Imm2 (44)
**Formation energy**: 0.40 eV per atom

=====

No. 3
Compound: YIn4Au2
Source: the Alexandria database
Functional: meta-GGA SCAN
Structure: single point on PBEsol structure

Lattice parameters (Å, degrees): 7.5565 4.4722 9.5996 90.00 108.15 90.00
Last column: nearest neighbours and their distance in Å.
Fractional positions:
Y 0.1679 0.2500 0.2880  10 In 3.23-3.56, 4 Au 3.27-3.33
Y 0.8321 0.7500 0.7120  10 In 3.23-3.56, 4 Au 3.27-3.33
In 0.0945 0.2500 0.6261  3 Au 2.79, 2 In 2.90-3.11
In 0.0997 0.2500 0.9295  3 Au 2.78-2.83, 1 In 2.90
In 0.4618 0.7500 0.8685  4 Au 2.80-2.91
In 0.4931 0.7500 0.3714  4 Au 2.76-2.80
In 0.5069 0.2500 0.6286  4 Au 2.76-2.80
In 0.5382 0.2500 0.1315  4 Au 2.80-2.91
In 0.9003 0.7500 0.0705  3 Au 2.78-2.83, 1 In 2.90
In 0.9055 0.7500 0.3739  3 Au 2.79, 2 In 2.90-3.11
Au 0.2726 0.7500 0.5585  7 In 2.79-2.87
Au 0.2784 0.7500 0.0804  7 In 2.76-2.91
Au 0.7216 0.2500 0.9196  7 In 2.76-2.91
Au 0.7274 0.2500 0.4415  7 In 2.79-2.87

**Total magnetic moment**: 0.00 μB/f.u.
**SG**: P2_1/m (11)
**Formation energy**: -0.54 eV per atom

=====

No. 4
Compound: GaCuSb2Te
Source: the Alexandria database
Functional: meta-GGA SCAN
Structure: single point on PBEsol structure

Lattice parameters (Å, degrees): 4.9742 4.9742 5.3115 90.00 90.00 90.00
Last column: nearest neighbours and their distance in Å.
Fractional positions:
Ga 0.0000 0.0000 0.0000  4 Te 3.52, 8 Sb 3.64
Cu 0.5000 0.5000 0.5000  4 Sb 2.49, 2 Te 2.66
Sb 0.0000 0.5000 0.5000  2 Cu 2.49
Sb 0.5000 0.0000 0.5000  2 Cu 2.49
Te 0.5000 0.5000 0.0000  2 Cu 2.66

**Offset from the most stable computed form**: 0.000 eV per atom
**Total magnetic moment**: 0.00 μB/f.u.
**SG**: P4/mmm (123)
**Energy relative to the elements, uncorrected**: 0.465 eV/atom

=====

No. 5
Compound: ReRu2Pt
Source: the Alexandria database
Functional: meta-GGA SCAN
Structure: single point on PBEsol structure

Lattice parameters (Å, degrees): 2.6863 3.8630 5.3927 90.00 90.00 90.00
Last column: nearest neighbours and their distance in Å.
Fractional positions:
Re 0.0000 0.0000 0.0000  6 Ru 2.56-2.84, 2 Re 2.69, 4 Pt 2.75
Ru 0.0000 0.0000 0.4742  2 Re 2.56-2.84, 6 Ru 2.67-2.69, 4 Pt 2.75
Ru 0.5000 0.5000 0.2394  6 Ru 2.67-2.69, 2 Pt 2.68-2.71, 4 Re 2.68
Pt 0.5000 0.5000 0.7367  6 Ru 2.68-2.75, 2 Pt 2.69, 4 Re 2.75

**Offset from the most stable computed form**: 0.017 eV per atom
**Total magnetic moment**: 0.00 μB/f.u.
**SG**: Pmm2 (25)
**Formation energy**: -0.03 eV per atom

=====

No. 6
Compound: Ga2SnHg
Source: the Alexandria database
Functional: meta-GGA SCAN
Structure: single point on PBEsol structure

Lattice parameters (Å, degrees): 6.2118 6.2118 6.2118 102.99 102.99 123.40
Last column: nearest neighbours and their distance in Å.
Fractional positions:
Ga 0.1198 0.6250 0.9948  2 Hg 2.80, 2 Sn 2.86, 2 Ga 2.95
Ga 0.3750 0.3698 0.4948  2 Hg 2.80, 2 Sn 2.86, 2 Ga 2.95
Ga 0.6302 0.1250 0.0052  2 Hg 2.80, 2 Sn 2.86, 2 Ga 2.95
Ga 0.8750 0.8802 0.5052  2 Hg 2.80, 2 Sn 2.86, 2 Ga 2.95
Sn 0.2500 0.7500 0.5000  4 Ga 2.86, 2 Hg 2.95
Sn 0.5000 0.5000 0.0000  4 Ga 2.86, 2 Hg 2.95
Hg 0.0000 0.0000 0.0000  4 Ga 2.80, 2 Sn 2.95
Hg 0.7500 0.2500 0.5000  4 Ga 2.80, 2 Sn 2.95

**Offset from the most stable computed form**: 0.000 eV per atom
**Total magnetic moment**: 0.00 μB/f.u.
**SG**: I-42d (122)
**Formation energy**: 0.16 eV per atom